# SrVHgO4 PBE+U relaxed
# Uncorrected energy (eV for the cell shown): -171.704
data_SrVHgO4
_cell_length_a 12.066
_cell_length_b 6.677
_cell_length_c 7.363
_cell_angle_alpha 90.00
_cell_angle_beta 100.36
_cell_angle_gamma 90.00
_space_group_name_H-M_alt 'C 1 2/m 1'
_space_group_IT_number 12
_space_group_name_Hall '-C 2y'
loop_
_atom_site_label
_atom_site_type_symbol
_atom_site_fract_x
_atom_site_fract_y
_atom_site_fract_z
_atom_site_occupancy
Sr1 Sr 0.200 0.000 0.351 1
V1 V 0.139 0.000 0.770 1
Hg1 Hg 0.106 0.500 0.993 1
O1 O 0.000 0.000 0.224 1
O2 O 0.176 0.204 0.647 1
O3 O 0.219 0.000 0.007 1